No. 1
The following is a PBE calculation of Ag3Pt2 after structural relaxation, from Alexandria.

Magnetization = 0.000 μB per formula unit
Formation energy = 0.29 kcal/mol of atoms
Relative energy among the computed polymorphs = 68 meV per atom
Crystal system = monoclinic
Theoretical density = 14.12 g/cm3

Cell: 7.6429 7.6429 8.2407 Å, 106.32 106.32 21.34°
Fractional positions:
Ag  0.0000  0.0000  0.0000
Ag  0.0000  0.0000  0.5000
Ag  0.2017  0.2017  0.6080
Ag  0.3985  0.3985  0.7026
Ag  0.6015  0.6015  0.2974
Ag  0.7983  0.7983  0.3920
Pt  0.1981  0.1981  0.0882
Pt  0.3996  0.3996  0.1976
Pt  0.6004  0.6004  0.8024
Pt  0.8019  0.8019  0.9118


No. 2
The following is a PBE calculation of Ag4Pt after structural relaxation, from Alexandria.

Magnetization = 0.000 μB per formula unit
Formation energy = 0.44 kcal/mol of atoms
Relative energy among the computed polymorphs = 5 meV per atom
Crystal system = tetragonal
Theoretical density = 12.03 g/cm3

Cell: 2.8806 2.8806 20.8382 Å, 90.00 90.00 90.00°
Fractional positions:
Ag  0.0000  0.0000  0.0972
Ag  0.0000  0.0000  0.3009
Ag  0.0000  0.0000  0.6991
Ag  0.0000  0.0000  0.9028
Ag  0.5000  0.5000  0.1991
Ag  0.5000  0.5000  0.4028
Ag  0.5000  0.5000  0.5972
Ag  0.5000  0.5000  0.8009
Pt  0.0000  0.0000  0.5000
Pt  0.5000  0.5000  0.0000


No. 3
The following is a PBE calculation of AgPt4 after structural relaxation, from Alexandria.

Magnetization = 0.000 μB per formula unit
Formation energy = 0.71 kcal/mol of atoms
Relative energy among the computed polymorphs = 77 meV per atom
Crystal system = tetragonal
Theoretical density = 18.47 g/cm3

Cell: 6.3632 6.3632 3.9449 Å, 90.00 90.00 90.00°
Fractional positions:
Ag  0.0000  0.0000  0.0000
Ag  0.5000  0.5000  0.5000
Pt  0.1036  0.6958  0.5000
Pt  0.1958  0.3964  0.0000
Pt  0.3042  0.1036  0.5000
Pt  0.3964  0.8042  0.0000
Pt  0.6036  0.1958  0.0000
Pt  0.6958  0.8964  0.5000
Pt  0.8042  0.6036  0.0000
Pt  0.8964  0.3042  0.5000


No. 4
The following is a PBE calculation of Ag3Pt4 after structural relaxation, from Alexandria.

Magnetization = 0.001 μB per formula unit
Formation energy = 3.02 kcal/mol of atoms
Relative energy among the computed polymorphs = 88 meV per atom
Crystal system = tetragonal
Theoretical density = 15.65 g/cm3

Cell: 3.3735 3.3735 20.5852 Å, 90.00 90.00 90.00°
Fractional positions:
Ag  0.0000  0.0000  0.0000
Ag  0.0000  0.0000  0.2863
Ag  0.0000  0.0000  0.7137
Ag  0.5000  0.5000  0.2137
Ag  0.5000  0.5000  0.5000
Ag  0.5000  0.5000  0.7863
Pt  0.0000  0.0000  0.1375
Pt  0.0000  0.0000  0.4262
Pt  0.0000  0.0000  0.5738
Pt  0.0000  0.0000  0.8625
Pt  0.5000  0.5000  0.0738
Pt  0.5000  0.5000  0.3625
Pt  0.5000  0.5000  0.6375
Pt  0.5000  0.5000  0.9262


No. 5
The following is a PBE calculation of Ag5Pt7 after structural relaxation, from Alexandria.

Magnetization = 0.000 μB per formula unit
Formation energy = 0.78 kcal/mol of atoms
Relative energy among the computed polymorphs = 43 meV per atom
Crystal system = orthorhombic
Theoretical density = 16.06 g/cm3

Cell: 7.5401 7.5401 7.5401 Å, 148.90 115.38 73.45°
Fractional positions:
Ag  0.0000  0.0000  0.0000
Ag  0.0822  0.8323  0.2499
Ag  0.1629  0.6629  0.5000
Ag  0.3274  0.3274  0.0000
Ag  0.5824  0.8323  0.7501
Pt  0.2589  0.5010  0.7579
Pt  0.4244  0.1627  0.2617
Pt  0.5000  0.0000  0.5000
Pt  0.6659  0.6659  0.0000
Pt  0.7432  0.5010  0.2421
Pt  0.8353  0.3353  0.5000
Pt  0.9010  0.1627  0.7383


No. 6
The following is a PBE calculation of Ag7Pt5 after structural relaxation, from Alexandria.

Magnetization = 0.000 μB per formula unit
Formation energy = 0.58 kcal/mol of atoms
Relative energy among the computed polymorphs = 26 meV per atom
Crystal system = triclinic
Theoretical density = 14.29 g/cm3

Cell: 4.9522 5.7642 7.5816 Å, 79.73 77.58 73.54°
Fractional positions:
Ag  0.0000  0.0000  0.0000
Ag  0.0046  0.8376  0.6659
Ag  0.4927  0.3349  0.1678
Ag  0.4972  0.8290  0.1707
Ag  0.5028  0.1710  0.8293
Ag  0.5073  0.6651  0.8322
Ag  0.9954  0.1624  0.3341
Pt  0.0000  0.5000  0.0000
Pt  0.0128  0.3419  0.6618
Pt  0.5000  0.0000  0.5000
Pt  0.5000  0.5000  0.5000
Pt  0.9872  0.6581  0.3382